[1]
The following is a meta-GGA SCAN calculation of Y4As6Rh7 at its PBEsol-relaxed geometry, from Alexandria.

a b c (Å): 7.1782 7.1782 7.1782
angles (deg): 109.47 109.47 109.47
With the nearest neighbours (Å) after each atom.
Positions (direct):
Y (0.5000, 0.0000, 0.0000)  6 Rh 2.93, 6 As 2.99
Y (0.0000, 0.5000, 0.0000)  6 Rh 2.93, 6 As 2.99
Y (0.0000, 0.0000, 0.5000)  6 Rh 2.93, 6 As 2.99
Y (0.5000, 0.5000, 0.5000)  6 Rh 2.93, 6 As 2.99
As (0.0000, 0.3189, 0.3189)  5 Rh 2.56-2.64
As (0.0000, 0.6811, 0.6811)  5 Rh 2.56-2.64
As (0.6811, 0.0000, 0.6811)  5 Rh 2.56-2.64
As (0.3189, 0.0000, 0.3189)  5 Rh 2.56-2.64
As (0.6811, 0.6811, 0.0000)  5 Rh 2.56-2.64
As (0.3189, 0.3189, 0.0000)  5 Rh 2.56-2.64
Rh (0.5000, 0.7500, 0.2500)  4 As 2.56
Rh (0.5000, 0.2500, 0.7500)  4 As 2.56
Rh (0.7500, 0.5000, 0.2500)  4 As 2.56
Rh (0.2500, 0.5000, 0.7500)  4 As 2.56
Rh (0.2500, 0.7500, 0.5000)  4 As 2.56
Rh (0.7500, 0.2500, 0.5000)  4 As 2.56
Rh (0.0000, 0.0000, 0.0000)  6 As 2.64

Values from the calculation:
The formation energy is -1149 meV per atom. As for the total energy: -28.7320 eV/atom. Its space group is Im-3m (229).

---

[2]
The following is a meta-GGA SCAN calculation of YAs2Rh at its PBEsol-relaxed geometry, from Alexandria.

a b c (Å): 3.9687 3.9687 5.3316
angles (deg): 111.85 111.85 90.00
With the nearest neighbours (Å) after each atom.
Positions (direct):
Y (0.2500, 0.7500, 0.5000)  8 As 2.81-3.01, 4 Rh 3.01
As (0.0000, 0.0000, 0.0000)  4 Rh 2.81, 4 As 3.01, 4 Y 3.01
As (0.7500, 0.2500, 0.5000)  4 Y 2.81, 4 As 3.01, 4 Rh 3.01
Rh (0.5000, 0.5000, 0.0000)  8 As 2.81-3.01, 4 Y 3.01

Values from the calculation:
The formation energy is -636 meV per atom. As for the total energy: -26.1350 eV/atom. Its space group is I-4m2 (119).

---

[3]
The following is a meta-GGA SCAN calculation of Y2As7Rh12 at its PBEsol-relaxed geometry, from Alexandria.

a b c (Å): 3.8668 9.8325 9.8325
angles (deg): 120.00 90.00 90.00
With the nearest neighbours (Å) after each atom.
Positions (direct):
Y (0.2413, 0.6667, 0.3333)  6 As 3.05-3.07, 6 Rh 3.11-3.12
Y (0.7486, 0.0000, 0.0000)  6 As 3.05-3.07, 6 Rh 3.11-3.12
As (0.4961, 0.3333, 0.6667)  6 Rh 2.46
As (0.2455, 0.0454, 0.2604)  7 Rh 2.40-2.57
As (0.2455, 0.2151, 0.9546)  7 Rh 2.40-2.57
As (0.2455, 0.7396, 0.7849)  7 Rh 2.40-2.57
As (0.7445, 0.6212, 0.0729)  7 Rh 2.40-2.57
As (0.7445, 0.4517, 0.3788)  7 Rh 2.40-2.57
As (0.7445, 0.9271, 0.5483)  7 Rh 2.40-2.57
Rh (0.2462, 0.2686, 0.2206)  4 As 2.40-2.57
Rh (0.2462, 0.9520, 0.7314)  4 As 2.40-2.57
Rh (0.2462, 0.7794, 0.0480)  4 As 2.40-2.57
Rh (0.7438, 0.3981, 0.1128)  4 As 2.40-2.57
Rh (0.7438, 0.7147, 0.6019)  4 As 2.40-2.57
Rh (0.7438, 0.8872, 0.2853)  4 As 2.40-2.57
Rh (0.2393, 0.0701, 0.5178)  4 As 2.42-2.51
Rh (0.2393, 0.4478, 0.9299)  4 As 2.42-2.51
Rh (0.2393, 0.4822, 0.5522)  4 As 2.42-2.51
Rh (0.7507, 0.5967, 0.8156)  4 As 2.42-2.51
Rh (0.7507, 0.2188, 0.4033)  4 As 2.42-2.51
Rh (0.7507, 0.1844, 0.7812)  4 As 2.42-2.51

Values from the calculation:
The formation energy is -852 meV per atom. As for the total energy: -29.5320 eV/atom. Its space group is P-3 (147).

---

[4]
The following is a meta-GGA SCAN calculation of YAs2Rh at its PBEsol-relaxed geometry, from Alexandria.

a b c (Å): 3.1226 3.1226 8.1126
angles (deg): 90.00 90.00 90.00
With the nearest neighbours (Å) after each atom.
Positions (direct):
Y (0.5000, 0.5000, 0.7311)  4 As 2.97, 4 Rh 3.05, 4 Y 3.12
As (0.0000, 0.0000, 0.9758)  4 Y 2.97, 4 As 3.12
As (0.5000, 0.5000, 0.3212)  4 Rh 2.52
Rh (0.0000, 0.0000, 0.4719)  4 As 2.52

Values from the calculation:
The formation energy is -526 meV per atom. As for the total energy: -26.0245 eV/atom. Its space group is P4mm (99).

---

[5]
The following is a meta-GGA SCAN calculation of YAs2Rh at its PBEsol-relaxed geometry, from Alexandria.

a b c (Å): 4.0271 4.2736 4.5771
angles (deg): 101.20 90.00 90.00
With the nearest neighbours (Å) after each atom.
Positions (direct):
Y (0.5000, 0.5000, 0.0000)  2 Rh 2.81, 4 As 2.86
As (0.0000, 0.1716, 0.2669)  2 Rh 2.46, 1 As 2.59
As (0.0000, 0.8284, 0.7331)  2 Rh 2.46, 1 As 2.59
Rh (0.5000, 0.0000, 0.5000)  4 As 2.46

Values from the calculation:
The formation energy is -990 meV per atom. As for the total energy: -26.4884 eV/atom. Its space group is P2/m (10).

---

[6]
The following is a meta-GGA SCAN calculation of YAsRh2 at its PBEsol-relaxed geometry, from Alexandria.

a b c (Å): 3.3467 3.3467 5.9977
angles (deg): 90.00 90.00 90.00
With the nearest neighbours (Å) after each atom.
Positions (direct):
Y (0.5000, 0.5000, 0.0000)  8 Rh 2.88, 2 As 3.00
As (0.5000, 0.5000, 0.5000)  8 Rh 2.73, 2 Y 3.00
Rh (0.0000, 0.0000, 0.7267)  1 Rh 2.72, 4 As 2.73, 4 Y 2.88
Rh (0.0000, 0.0000, 0.2733)  1 Rh 2.72, 4 As 2.73, 4 Y 2.88

Values from the calculation:
The formation energy is -617 meV per atom. As for the total energy: -29.5113 eV/atom. Its space group is P4/mmm (123).

---

[7]
The following is a meta-GGA SCAN calculation of YAs2Rh2 at its PBEsol-relaxed geometry, from Alexandria.

a b c (Å): 4.0676 4.0676 5.9085
angles (deg): 110.13 110.13 90.00
With the nearest neighbours (Å) after each atom.
Positions (direct):
Y (0.0000, 0.0000, 0.0000)  8 As 3.13, 8 Rh 3.29
As (0.3813, 0.3813, 0.7625)  4 Rh 2.44, 1 As 2.45
As (0.6187, 0.6187, 0.2375)  4 Rh 2.44, 1 As 2.45
Rh (0.2500, 0.7500, 0.5000)  4 As 2.44
Rh (0.7500, 0.2500, 0.5000)  4 As 2.44

Values from the calculation:
The formation energy is -970 meV per atom. As for the total energy: -28.1239 eV/atom. Its space group is I4/mmm (139).

---

[8]
The following is a meta-GGA SCAN calculation of YAsRh2 at its PBEsol-relaxed geometry, from Alexandria.

a b c (Å): 3.8760 3.8760 5.1597
angles (deg): 112.06 112.06 90.00
With the nearest neighbours (Å) after each atom.
Positions (direct):
Y (0.5000, 0.5000, 0.0000)  8 Rh 2.74-2.92, 4 As 2.92
As (0.2500, 0.7500, 0.5000)  8 Rh 2.74-2.92, 4 Y 2.92
Rh (0.0000, 0.0000, 0.0000)  4 Y 2.74, 4 As 2.92, 4 Rh 2.92
Rh (0.7500, 0.2500, 0.5000)  4 As 2.74, 4 Y 2.92, 4 Rh 2.92

Values from the calculation:
The formation energy is -689 meV per atom. As for the total energy: -29.5828 eV/atom. Its space group is I-4m2 (119).

---

[9]
The following is a meta-GGA SCAN calculation of YAs2Rh at its PBEsol-relaxed geometry, from Alexandria.

a b c (Å): 4.1582 4.2611 4.6546
angles (deg): 90.00 98.37 90.00
With the nearest neighbours (Å) after each atom.
Positions (direct):
Y (0.2460, 0.5000, 0.7144)  5 As 2.79-3.08, 2 Rh 3.09
As (0.8995, 0.0000, 0.0174)  2 Rh 2.37-2.50
As (0.6302, 0.5000, 0.2591)  2 Rh 2.43
Rh (0.7243, 0.0000, 0.5090)  4 As 2.37-2.50

Values from the calculation:
The formation energy is -800 meV per atom. As for the total energy: -26.2989 eV/atom. Its space group is Pm (6).

---

[10]
The following is a meta-GGA SCAN calculation of ZnAsRh3 at its PBEsol-relaxed geometry, from Alexandria.

a b c (Å): 4.4386 4.4386 4.4386
angles (deg): 90.00 90.00 90.00
With the nearest neighbours (Å) after each atom.
Positions (direct):
As (0.5000, 0.5000, 0.5000)  12 Rh 3.14
Rh (0.0000, 0.5000, 0.0000)  2 Zn 2.22
Rh (0.0000, 0.0000, 0.5000)  2 Zn 2.22
Rh (0.5000, 0.0000, 0.0000)  2 Zn 2.22
Zn (0.0000, 0.0000, 0.0000)  6 Rh 2.22

Values from the calculation:
The formation energy is 1058 meV per atom. As for the total energy: -25.9457 eV/atom. Its space group is Pm-3m (221). For the energy above the lowest structure with this stoichiometry, the calculation gives 357 kJ/mol of formula units.

---

[11]
The following is a meta-GGA SCAN calculation of ZnAsRh3 at its PBEsol-relaxed geometry, from Alexandria.

a b c (Å): 4.4402 4.4402 4.4402
angles (deg): 90.00 90.00 90.00
With the nearest neighbours (Å) after each atom.
Positions (direct):
As (0.0000, 0.0000, 0.0000)  6 Rh 2.22
Rh (0.0000, 0.5000, 0.0000)  2 As 2.22
Rh (0.0000, 0.0000, 0.5000)  2 As 2.22
Rh (0.5000, 0.0000, 0.0000)  2 As 2.22
Zn (0.5000, 0.5000, 0.5000)  12 Rh 3.14

Values from the calculation:
The formation energy is 318 meV per atom. As for the total energy: -26.6864 eV/atom. Its space group is Pm-3m (221). For the energy above the lowest structure with this stoichiometry, the calculation gives 0 kJ/mol of formula units.

---

[12]
The following is a meta-GGA SCAN calculation of Zr2AsRh at its PBEsol-relaxed geometry, from Alexandria.

a b c (Å): 3.5787 3.9870 5.3739
angles (deg): 90.00 109.45 90.00
With the nearest neighbours (Å) after each atom.
Positions (direct):
As (0.7090, 0.0000, 0.4180)  2 Rh 2.60, 5 Zr 2.75-2.76
Rh (0.5437, 0.5000, 0.0874)  2 As 2.60, 5 Zr 2.75
Zr (0.9814, 0.0000, 0.9628)  4 Rh 2.75, 3 As 2.76-2.92
Zr (0.2719, 0.5000, 0.5439)  4 As 2.75, 3 Rh 2.75-2.92

Values from the calculation:
The formation energy is -1062 meV per atom. As for the total energy: -29.9018 eV/atom. Its space group is Amm2 (38).

---

[13]
The following is a meta-GGA SCAN calculation of SbAs2Ru at its PBEsol-relaxed geometry, from Alexandria.

a b c (Å): 3.1574 4.7460 4.7460
angles (deg): 90.00 90.00 90.00
With the nearest neighbours (Å) after each atom.
Positions (direct):
Sb (0.5000, 0.0000, 0.0000)  8 As 2.85, 2 Sb 3.16
As (0.0000, 0.0000, 0.5000)  4 Sb 2.85, 4 Ru 2.85, 2 As 3.16
As (0.0000, 0.5000, 0.0000)  4 Sb 2.85, 4 Ru 2.85, 2 As 3.16
Ru (0.5000, 0.5000, 0.5000)  8 As 2.85, 2 Ru 3.16

Values from the calculation:
The raw formation energy comes out at 593.9 meV/atom. As for the total energy: -27.5231 eV/atom. Its space group is P4/mmm (123).

---

[14]
The following is a meta-GGA SCAN calculation of SbAsRu4 at its PBEsol-relaxed geometry, from Alexandria.

a b c (Å): 5.1229 5.1229 5.1229
angles (deg): 60.00 60.00 60.00
With the nearest neighbours (Å) after each atom.
Positions (direct):
As (0.0000, 0.0000, 0.0000)  12 Ru 3.00, 4 Sb 3.14
Ru (0.3747, 0.3747, 0.3747)  6 Ru 2.56-2.57
Ru (0.3747, 0.3747, 0.8759)  6 Ru 2.56-2.57
Ru (0.8759, 0.3747, 0.3747)  6 Ru 2.56-2.57
Ru (0.3747, 0.8759, 0.3747)  6 Ru 2.56-2.57
Sb (0.7500, 0.7500, 0.7500)  12 Ru 3.00, 4 As 3.14

Values from the calculation:
The raw formation energy comes out at 674.9 meV/atom. As for the total energy: -32.1178 eV/atom. Its space group is F-43m (216).

---

[15]
The following is a meta-GGA SCAN calculation of SbAs2Ru at its PBEsol-relaxed geometry, from Alexandria.

a b c (Å): 3.1596 3.1596 8.8818
angles (deg): 79.75 79.75 60.00
With the nearest neighbours (Å) after each atom.
Positions (direct):
Sb (0.0000, 0.0000, 0.0000)  6 Sb 3.16, 6 As 3.19
As (0.2328, 0.2328, 0.3016)  3 Ru 2.51
As (0.7672, 0.7672, 0.6984)  3 Ru 2.51
Ru (0.5000, 0.5000, 0.5000)  6 As 2.51

Values from the calculation:
The raw formation energy comes out at 38.4 meV/atom. As for the total energy: -28.0786 eV/atom. Its space group is R-3m (166).

---

[16]
The following is a meta-GGA SCAN calculation of SbAsRu2 at its PBEsol-relaxed geometry, from Alexandria.

a b c (Å): 3.0671 4.4773 4.6942
angles (deg): 90.00 90.00 89.99
With the nearest neighbours (Å) after each atom.
Positions (direct):
Sb (0.6249, 0.4939, 0.0000)  6 Ru 2.66-2.74
As (0.1252, 0.7905, 0.5000)  4 Ru 2.44-2.53
Ru (0.1249, 0.0011, 0.0000)  2 As 2.53, 4 Sb 2.69-2.74
Ru (0.6250, 0.2144, 0.5000)  2 As 2.44, 2 Sb 2.66

Values from the calculation:
The raw formation energy comes out at -35.1 meV/atom. As for the total energy: -31.8111 eV/atom. Its space group is Pmm2 (25). For the energy above the lowest structure with this stoichiometry, the calculation gives 0 kJ/mol of formula units.

---

[17]
The following is a meta-GGA SCAN calculation of SbAs4Ru at its PBEsol-relaxed geometry, from Alexandria.

a b c (Å): 5.4311 5.4311 5.4311
angles (deg): 60.00 60.00 60.00
With the nearest neighbours (Å) after each atom.
Positions (direct):
Sb (0.0000, 0.0000, 0.0000)  12 As 3.18, 4 Ru 3.33
As (0.3747, 0.3747, 0.3747)  6 As 2.71-2.72
As (0.3747, 0.3747, 0.8759)  6 As 2.71-2.72
As (0.8759, 0.3747, 0.3747)  6 As 2.71-2.72
As (0.3747, 0.8759, 0.3747)  6 As 2.71-2.72
Ru (0.7500, 0.7500, 0.7500)  12 As 3.18, 4 Sb 3.33

Values from the calculation:
The raw formation energy comes out at 842.9 meV/atom. As for the total energy: -24.6320 eV/atom. Its space group is F-43m (216).

---

[18]
The following is a meta-GGA SCAN calculation of SbAs2Ru at its PBEsol-relaxed geometry, from Alexandria.

a b c (Å): 3.0185 4.6365 6.0662
angles (deg): 112.47 104.41 90.00
With the nearest neighbours (Å) after each atom.
Positions (direct):
Sb (0.0000, 0.5000, 0.0000)  4 Ru 2.77, 2 Sb 3.02
As (0.8079, 0.8079, 0.6158)  2 Ru 2.57
As (0.1921, 0.1921, 0.3842)  2 Ru 2.57
Ru (0.5000, 0.0000, 0.0000)  4 As 2.57, 4 Sb 2.77

Values from the calculation:
The raw formation energy comes out at 200.1 meV/atom. As for the total energy: -27.9170 eV/atom. Its space group is Immm (71).

---

[19]
The following is a meta-GGA SCAN calculation of SbAsRu2 at its PBEsol-relaxed geometry, from Alexandria.

a b c (Å): 3.0630 3.0630 8.0004
angles (deg): 78.96 78.96 60.00
With the nearest neighbours (Å) after each atom.
Positions (direct):
Sb (0.5000, 0.5000, 0.5000)  6 Ru 2.74, 6 Sb 3.06
As (0.0000, 0.0000, 0.0000)  6 Ru 2.53
Ru (0.2560, 0.2560, 0.2320)  3 As 2.53, 3 Sb 2.74
Ru (0.7440, 0.7440, 0.7680)  3 As 2.53, 3 Sb 2.74

Values from the calculation:
The raw formation energy comes out at 60.9 meV/atom. As for the total energy: -31.7150 eV/atom. Its space group is R-3m (166). For the energy above the lowest structure with this stoichiometry, the calculation gives 37 kJ/mol of formula units.

---

[20]
The following is a meta-GGA SCAN calculation of SbAsRu2 at its PBEsol-relaxed geometry, from Alexandria.

a b c (Å): 4.5108 4.5108 4.5108
angles (deg): 60.00 60.00 60.00
With the nearest neighbours (Å) after each atom.
Positions (direct):
Sb (0.2500, 0.2500, 0.2500)  4 As 2.76, 4 Ru 2.76
As (0.5000, 0.5000, 0.5000)  4 Ru 2.76, 4 Sb 2.76
Ru (0.0000, 0.0000, 0.0000)  4 Sb 2.76, 4 Ru 2.76
Ru (0.7500, 0.7500, 0.7500)  4 Ru 2.76, 4 As 2.76

Values from the calculation:
The raw formation energy comes out at 633.2 meV/atom. As for the total energy: -31.1427 eV/atom. Its space group is F-43m (216). For the energy above the lowest structure with this stoichiometry, the calculation gives 258 kJ/mol of formula units.